Run a
RbHg3Pb: optimized geometry, PBE-GGA.

Cell and atoms, written as POSCAR:
```
RbHg3Pb
1.0
3.809 0.000 -0.524
0.000 5.140 0.000
0.317 0.000 16.394
Rb Hg Pb
2 6 2
Cartesian
3.772 3.855 13.306
0.353 1.285 2.563
2.481 3.855 3.926
1.644 1.285 11.943
2.019 3.855 0.574
2.106 1.285 15.295
2.709 1.285 5.584
1.416 3.855 10.285
0.985 3.855 7.151
3.141 1.285 8.718
```

Run b
RbHg3Pb: optimized geometry, PBE-GGA.

Cell and atoms, written as POSCAR:
```
RbHg3Pb
1.0
6.004 0.000 0.000
0.000 6.004 0.000
0.000 0.000 6.004
Pb Hg Rb
1 3 1
Cartesian
0.000 0.000 0.000
0.000 3.002 0.000
0.000 0.000 3.002
3.002 0.000 0.000
3.002 3.002 3.002
```

Relative to the most stable structure, the computed energies are run a 0.0; run b 7.9, all in kJ/mol of atoms.

Run a
RbHg2Pb2: optimized geometry, PBE-GGA.

Cell and atoms, written as POSCAR:
```
RbHg2Pb2
1.0
5.381 0.000 0.000
0.000 5.381 0.000
2.690 2.690 6.078
Pb Hg Rb
2 2 1
Cartesian
2.690 2.690 1.538
5.381 5.381 4.540
5.381 2.690 3.039
2.690 5.381 3.039
0.000 0.000 0.000
```

Run b
RbHg2Pb2: optimized geometry, PBE-GGA.

Cell and atoms, written as POSCAR:
```
RbHg2Pb2
1.0
-4.198 -2.778 -0.213
2.492 -3.916 1.959
-2.512 -1.313 7.049
Pb Hg Rb
2 2 1
Cartesian
-3.782 -3.719 3.854
-0.437 -4.288 4.941
-1.210 -2.910 2.201
-3.009 -5.097 6.594
0.000 0.000 0.000
```

Run c
RbHg2Pb2: optimized geometry, PBE-GGA.

Cell and atoms, written as POSCAR:
```
RbHg2Pb2
1.0
-6.026 -6.107 3.922
0.601 -5.501 -7.641
2.789 -1.785 1.505
Pb Hg Rb
4 4 2
Cartesian
0.954 -5.229 -3.576
-1.923 -9.530 -3.348
-3.590 -8.165 1.362
-0.713 -3.863 1.134
-1.578 -6.769 -5.108
-4.706 -8.764 -1.676
-3.848 -4.839 1.389
-0.719 -2.844 -2.042
0.000 0.000 0.000
-2.713 -5.804 -1.859
```

Run d
RbHg2Pb2: optimized geometry, PBE-GGA.

Cell and atoms, written as POSCAR:
```
RbHg2Pb2
1.0
-3.189 7.072 5.624
-6.672 -0.224 5.537
1.518 2.455 7.326
Rb Hg Pb
2 4 4
Cartesian
-7.672 7.149 10.796
-0.671 2.154 7.691
-4.047 3.386 6.963
-7.472 8.149 14.850
-0.871 1.154 3.638
-4.296 5.916 11.525
-5.879 5.644 14.121
-2.641 5.522 8.931
-2.464 3.659 4.366
-5.702 3.781 9.556
```

Relative to the most stable structure, the computed energies are run a 5.4; run b 0.0; run c 8.9; run d 4.3, all in kJ/mol of atoms.

Run a
Rb2Hg2Pb: optimized geometry, PBE-GGA.

Cell and atoms, written as POSCAR:
```
Rb2Hg2Pb
1.0
-0.734 8.170 0.221
-3.843 -0.541 7.230
5.114 0.385 2.747
Pb Hg Rb
2 4 4
Cartesian
0.000 0.000 0.000
-2.289 3.814 3.726
-3.587 2.505 6.326
-3.079 6.713 4.791
-0.991 5.124 1.126
-1.498 0.916 2.660
-0.173 1.269 6.305
-1.104 5.275 7.476
0.710 6.744 3.894
1.641 2.739 2.722
```

Run b
Rb2Hg2Pb: optimized geometry, PBE-GGA.

Cell and atoms, written as POSCAR:
```
Rb2Hg2Pb
1.0
10.469 0.000 0.000
0.000 10.469 0.000
0.000 0.000 3.631
Pb Hg Rb
2 4 4
Cartesian
0.000 0.000 0.000
5.235 5.235 0.000
1.113 6.347 1.815
6.347 9.356 1.815
9.356 4.122 1.815
4.122 1.113 1.815
3.290 8.524 0.000
8.524 7.179 0.000
7.179 1.945 0.000
1.945 3.290 0.000
```

Relative to the most stable structure, the computed energies are run a 0.0; run b 12.3, all in kJ/mol of atoms.